# PmSm2Sb2

A geometry-optimized PmSm2Sb2 structure (PBE, Alexandria).

Cell: 6.338 8.741 7.987 Å, 123.17 113.37 90.00°
Fractional coordinates of all 10 atoms:
Sm 0.650 0.009 0.300
Sm 0.350 0.991 0.700
Sm 0.850 0.709 0.700
Sm 0.150 0.291 0.300
Pm 0.250 0.500 0.000
Pm 0.750 0.500 0.000
Sb 0.111 0.897 0.223
Sb 0.611 0.325 0.223
Sb 0.389 0.675 0.777
Sb 0.889 0.103 0.777

Output
Final energy: -26.7 eV/f.u.
DOS(E_F): 0.758 states/eV/atom
V: 32.6 A^3/atom
ΔE_f (raw): -0.86 eV/atom

# CrHOs2

A geometry-optimized CrHOs2 structure (PBE, Alexandria).

Cell: 4.041 4.041 4.041 Å, 60.00 60.00 60.00°
Fractional coordinates of all 4 atoms:
H 0.000 0.000 0.000
Os 0.750 0.750 0.750
Os 0.250 0.250 0.250
Cr 0.500 0.500 0.500

Output
Final energy: -32.8 eV/f.u.
DOS(E_F): 0.599 states/eV/atom
ΔE to the lowest computed polymorph: 264.0 meV per atom
V: 11.7 A^3/atom